A plane-wave DFT calculation with PBE-GGA was carried out for a relaxed structure of YHo2TaN4.

Results
size of the total moment	0.0	Bohr magnetons per cell
raw formation energy	-1.55	eV per atom

Cell lengths 5.8002, 3.3371, 5.8069 Å; angles 90.00, 109.11, 90.00 degrees
Closest atoms and distances in Å follow each position.
Element x y z (fractional)
Y1 0.0000 0.0000 0.0000  6 N 2.38
Ho1 0.5000 0.0000 0.5000  6 N 2.36-2.37
Ho2 0.5000 0.5000 0.0000  6 N 2.47-2.50
Ta1 0.0000 0.5000 0.5000  6 N 2.22-2.27
N1 0.2300 0.0000 0.7283  2 Ta 2.27, 3 Ho 2.36-2.47, 1 Y 2.38
N2 0.2369 0.5000 0.2665  1 Ta 2.22, 2 Ho 2.37, 2 Y 2.38
N3 0.7631 0.5000 0.7335  1 Ta 2.22, 2 Ho 2.37, 2 Y 2.38
N4 0.7700 0.0000 0.2717  2 Ta 2.27, 3 Ho 2.36-2.47, 1 Y 2.38